Entry 1:
Entry from the Alexandria database: a geometry-optimized La2ErIn structure (PBE).

```
La2ErIn
1.0
-4.578 -2.884 -1.589
0.459 -4.162 -3.777
-0.657 -5.361 1.618
La In Er
2 1 1
direct
0.250 0.250 0.250
0.750 0.750 0.750
0.500 0.500 0.500
0.000 0.000 0.000
```

Output
**Space group**: Fm-3m
**D(E_F)**: 7.36 states/eV/cell
**M_tot**: 0.0 μB per formula unit
**Excess energy over the best structure of this formula in the dataset**: 97.4 meV per atom
**Formation enthalpy at 0 K**: -4.0 kcal/mol of atoms


Entry 2:
Entry from the Alexandria database: a geometry-optimized MnNb2Tc structure (PBE).

```
MnNb2Tc
1.0
-0.715 -1.196 2.812
3.029 -0.665 0.487
0.819 5.640 2.607
Nb Mn Tc
2 1 1
direct
0.000 0.000 0.757
0.000 0.000 0.243
0.500 0.500 0.000
0.500 0.500 0.500
```

Output
**Space group**: P4/mmm
**D(E_F)**: 1.80 states/eV/cell
**M_tot**: 0.0 μB per formula unit
**Excess energy over the best structure of this formula in the dataset**: 0.0 meV per atom
**Formation enthalpy at 0 K**: -5.0 kcal/mol of atoms


Entry 3:
Entry from the Alexandria database: a geometry-optimized PuB3Ir3 structure (PBE).

```
PuB3Ir3
1.0
5.898 0.000 0.000
0.000 5.898 0.000
0.000 0.000 5.898
B Ir Pu
6 6 2
direct
0.000 0.250 0.500
0.000 0.750 0.500
0.500 0.000 0.750
0.750 0.500 0.000
0.500 0.000 0.250
0.250 0.500 0.000
0.250 0.000 0.500
0.000 0.500 0.250
0.500 0.750 0.000
0.750 0.000 0.500
0.000 0.500 0.750
0.500 0.250 0.000
0.500 0.500 0.500
0.000 0.000 0.000
```

Output
**Space group**: Pm-3n
**D(E_F)**: 36.88 states/eV/cell
**M_tot**: 5.3 μB per formula unit
**Formation enthalpy at 0 K**: -5.7 kcal/mol of atoms


Entry 4:
Entry from the Alexandria database: a geometry-optimized Mn3TlS structure (PBE).

```
Mn3TlS
1.0
4.207 0.000 0.000
0.000 4.207 0.000
0.000 0.000 4.207
Tl Mn S
1 3 1
direct
0.500 0.500 0.500
0.000 0.500 0.000
0.000 0.000 0.500
0.500 0.000 0.000
0.000 0.000 0.000
```

Output
**Space group**: Pm-3m
**Uncorrected formation energy**: 310.9 meV per atom
**D(E_F)**: 4.42 states/eV/cell
**M_tot**: 4.2 μB per formula unit
**Excess energy over the best structure of this formula in the dataset**: 0.0 meV per atom


Entry 5:
Entry from the Alexandria database: a geometry-optimized NdNiRh structure (PBE).

```
NdNiRh
1.0
-3.293 -1.266 3.950
0.270 -2.883 -4.435
5.188 -0.672 0.824
Nd Ni Rh
2 2 2
direct
0.250 0.121 0.871
0.750 0.879 0.129
0.000 0.500 0.500
0.500 0.000 0.500
0.500 0.500 0.500
0.000 0.500 0.000
```

Output
**Space group**: Imma
**D(E_F)**: 4.99 states/eV/cell
**M_tot**: 0.0 μB per formula unit
**Formation enthalpy at 0 K**: -11.8 kcal/mol of atoms


Entry 6:
Entry from the Alexandria database: a geometry-optimized PmSmIn structure (PBE).

```
PmSmIn
1.0
3.717 0.000 0.000
0.000 5.314 0.000
0.000 -2.657 4.602
In Sm Pm
1 1 1
direct
0.675 0.667 0.333
0.947 0.000 0.000
0.378 0.333 0.667
```

Output
**Space group**: P3m1
**D(E_F)**: 2.19 states/eV/cell
**M_tot**: 0.0 μB per formula unit
**Excess energy over the best structure of this formula in the dataset**: 100.8 meV per atom
**Formation enthalpy at 0 K**: -5.6 kcal/mol of atoms


Entry 7:
Entry from the Alexandria database: a geometry-optimized TcHgMo2 structure (PBE).

```
TcHgMo2
1.0
3.982 0.000 0.000
0.000 3.980 0.000
0.000 0.000 4.111
Hg Mo Tc
1 2 1
direct
0.000 0.500 0.500
0.000 0.000 0.000
0.500 0.500 0.000
0.500 0.000 0.500
```

Output
**Space group**: P4/mmm
**D(E_F)**: 2.92 states/eV/cell
**M_tot**: 0.0 μB per formula unit
**Formation enthalpy at 0 K**: 10.1 kcal/mol of atoms


Entry 8:
Entry from the Alexandria database: a geometry-optimized NaNiH3 structure (PBE).

```
NaNiH3
1.0
-1.012 -18.088 3.471
-0.179 -0.841 -4.436
2.339 5.403 -1.119
Ni H Na
4 12 4
direct
0.579 0.742 0.817
0.421 0.258 0.183
0.921 0.242 0.683
0.079 0.758 0.317
0.343 0.929 0.088
0.657 0.071 0.912
0.157 0.429 0.412
0.843 0.571 0.588
0.453 0.431 0.502
0.547 0.569 0.498
0.047 0.931 0.998
0.953 0.069 0.002
0.592 0.782 0.125
0.408 0.218 0.875
0.908 0.282 0.375
0.092 0.718 0.625
0.178 0.240 0.900
0.822 0.760 0.100
0.322 0.740 0.600
0.678 0.260 0.400
```

Output
**Space group**: P2_1/c
**D(E_F)**: 0.24 states/eV/cell
**M_tot**: 0.0 μB per formula unit
**Electronic total energy**: -3.514 eV/atom


Entry 9:
Entry from the Alexandria database: a geometry-optimized GdDyTm2 structure (PBE).

```
GdDyTm2
1.0
-1.273 -0.849 3.174
3.276 -0.586 1.157
0.705 9.527 2.832
Gd Tm Dy
1 2 1
direct
0.500 0.500 0.000
0.000 0.000 0.748
0.000 0.000 0.252
0.500 0.500 0.500
```

Output
**Space group**: P4/mmm
**D(E_F)**: 6.22 states/eV/cell
**M_tot**: 7.3 μB per formula unit
**Excess energy over the best structure of this formula in the dataset**: 3.4 meV per atom
**Formation enthalpy at 0 K**: 0.6 kcal/mol of atoms


Entry 10:
Entry from the Alexandria database: a geometry-optimized Na3AlRh3O8 structure (PBE).

```
Na3AlRh3O8
1.0
-4.088 -2.107 -3.990
5.587 1.526 -1.884
-0.661 -5.388 3.524
Na Al Rh O
3 1 3 8
direct
0.000 0.000 0.000
0.000 0.500 0.000
0.500 0.500 0.000
0.000 0.000 0.500
0.500 0.000 0.500
0.500 0.500 0.500
0.000 0.500 0.500
0.268 0.535 0.303
0.732 0.465 0.697
0.781 0.561 0.312
0.219 0.439 0.688
0.781 0.031 0.312
0.219 0.969 0.688
0.250 0.031 0.312
0.750 0.969 0.688
```

Output
**Space group**: R-3m
**Uncorrected formation energy**: -1407.5 meV per atom
**D(E_F)**: 13.20 states/eV/cell
**M_tot**: 1.0 μB per formula unit


Entry 11:
Entry from the Alexandria database: a geometry-optimized CrCd2AgC structure (PBE).

```
CrCd2AgC
1.0
-2.457 -1.051 4.623
2.403 -3.082 0.576
3.453 3.171 2.556
Cr C Ag Cd
1 1 1 2
direct
0.500 0.500 0.500
0.000 0.500 0.000
0.000 0.000 0.000
0.000 0.000 0.500
0.500 0.000 0.000
```

Output
**Space group**: P4/mmm
**D(E_F)**: 2.98 states/eV/cell
**M_tot**: 4.4 μB per formula unit
**Formation enthalpy at 0 K**: 34.1 kcal/mol of atoms


Entry 12:
Entry from the Alexandria database: a geometry-optimized CePr2Zn structure (PBE).

```
CePr2Zn
1.0
-3.075 0.446 -1.884
-3.196 0.074 1.729
-1.240 10.767 1.067
Ce Pr Zn
1 2 1
direct
0.500 0.500 0.501
0.074 0.074 0.779
0.260 0.260 0.219
0.667 0.667 0.000
```

Output
**Space group**: R3m
**D(E_F)**: 6.89 states/eV/cell
**M_tot**: 1.2 μB per formula unit
**Excess energy over the best structure of this formula in the dataset**: 131.3 meV per atom
**Formation enthalpy at 0 K**: 0.9 kcal/mol of atoms